The following is a PBE calculation of a relaxed Tb4PmGe4 crystal, from the Alexandria database.

- Total magnetization: 0.000 Bohr magnetons per cell
- Density of states at the Fermi level: 19.23 states/eV per cell

Unit cell a=9.269 b=9.269 c=5.844 alpha=90.00 beta=90.00 gamma=90.00
Space group P4_2/n (No. 86, origin choice 2)
Unique sites:
Tb: 0.083 0.653 0.139 [8 per cell]
Pm: 0.250 0.250 0.250 [2 per cell]
Ge: 0.032 0.615 0.639 [8 per cell]

The following is a PBE calculation of a relaxed Tb2PmGe crystal, from the Alexandria database.

- Total magnetization: 0.000 Bohr magnetons per cell
- Density of states at the Fermi level: 4.59 states/eV per cell
- Offset from the most stable computed form: 110 meV per atom

Unit cell a=4.725 b=4.725 c=4.704 alpha=90.00 beta=90.00 gamma=90.00
Space group P4/mmm (No. 123)
Unique sites:
Tb: 0.000 0.500 0.000 [2 per cell]
Pm: 0.000 0.000 0.500 [1 per cell]
Ge: 0.500 0.500 0.500 [1 per cell]

The following is a PBE calculation of a relaxed Tb3Pm2Ge4 crystal, from the Alexandria database.

- Total magnetization: 0.000 Bohr magnetons per cell
- Density of states at the Fermi level: 12.89 states/eV per cell
- Offset from the most stable computed form: 166 meV per atom

Unit cell a=11.152 b=4.454 c=9.737 alpha=90.00 beta=97.91 gamma=90.00
Space group C2/m (No. 12)
Unique sites:
Tb: 0.000 0.000 0.000 [2 per cell]
Tb: 0.122 0.500 0.405 [4 per cell]
Pm: 0.179 0.500 0.815 [4 per cell]
Ge: 0.092 0.000 0.607 [4 per cell]
Ge: 0.143 0.500 0.116 [4 per cell]

The following is a PBE calculation of a relaxed TbPm4Ge4 crystal, from the Alexandria database.

- Total magnetization: 0.000 Bohr magnetons per cell
- Density of states at the Fermi level: 18.48 states/eV per cell

Unit cell a=9.108 b=9.108 c=6.042 alpha=90.00 beta=90.00 gamma=90.00
Space group P4_2/n (No. 86, origin choice 2)
Unique sites:
Tb: 0.250 0.250 0.250 [2 per cell]
Pm: 0.052 0.669 0.124 [8 per cell]
Ge: 0.018 0.628 0.615 [8 per cell]

The following is a PBE calculation of a relaxed Tb2PmGe2 crystal, from the Alexandria database.

- Total magnetization: 0.000 Bohr magnetons per cell
- Density of states at the Fermi level: 7.02 states/eV per cell
- Offset from the most stable computed form: 59 meV per atom

Unit cell a=4.426 b=6.532 c=8.824 alpha=90.00 beta=90.00 gamma=90.00
Space group Immm (No. 71)
Unique sites:
Tb: 0.000 0.000 0.197 [4 per cell]
Pm: 0.000 0.500 0.000 [2 per cell]
Ge: 0.000 0.298 0.500 [4 per cell]

The following is a PBE calculation of a relaxed Tb2Pm3Ge4 crystal, from the Alexandria database.

- Total magnetization: 0.000 Bohr magnetons per cell
- Density of states at the Fermi level: 12.67 states/eV per cell
- Offset from the most stable computed form: 0 meV per atom

Unit cell a=8.056 b=7.940 c=7.745 alpha=90.00 beta=111.74 gamma=90.00
Space group P2_1/c (No. 14)
Unique sites:
Tb: 0.237 0.165 0.230 [4 per cell]
Pm: 0.198 0.681 0.067 [4 per cell]
Pm: 0.500 0.000 0.000 [2 per cell]
Ge: 0.084 0.038 0.827 [4 per cell]
Ge: 0.493 0.627 0.875 [4 per cell]

The following is a PBE calculation of a relaxed Tb2Pm3Ge4 crystal, from the Alexandria database.

- Total magnetization: 0.411 Bohr magnetons per cell
- Density of states at the Fermi level: 13.50 states/eV per cell
- Offset from the most stable computed form: 139 meV per atom

Unit cell a=11.480 b=4.450 c=9.658 alpha=90.00 beta=99.27 gamma=90.00
Space group C2/m (No. 12)
Unique sites:
Tb: 0.181 0.000 0.313 [4 per cell]
Pm: 0.000 0.500 0.500 [2 per cell]
Pm: 0.120 0.000 0.899 [4 per cell]
Ge: 0.090 0.500 0.114 [4 per cell]
Ge: 0.155 0.000 0.610 [4 per cell]

The following is a PBE calculation of a relaxed TbPm6Ge4 crystal, from the Alexandria database.

- Total magnetization: 0.166 Bohr magnetons per cell
- Density of states at the Fermi level: 13.05 states/eV per cell

Unit cell a=9.3164 b=9.3164 c=4.0781 alpha=90.00 beta=90.00 gamma=120.00
Space group P-6m2 (No. 187)
Unique sites:
Tb: 0.0000 0.0000 0.0000 [1 per cell]
Pm: 0.1956 0.3912 0.5000 [3 per cell]
Pm: 0.5416 0.0832 0.0000 [3 per cell]
Ge: 0.3244 0.1622 0.5000 [3 per cell]
Ge: 0.3333 0.6667 0.0000 [1 per cell]

The following is a PBE calculation of a relaxed TbPmGe4 crystal, from the Alexandria database.

- Total magnetization: 0.002 Bohr magnetons per cell
- Density of states at the Fermi level: 29.00 states/eV per cell
- Offset from the most stable computed form: 142 meV per atom

Unit cell a=8.025 b=8.025 c=8.025 alpha=90.00 beta=90.00 gamma=90.00
Space group F-43m (No. 216)
Unique sites:
Tb: 0.000 0.000 0.000 [4 per cell]
Pm: 0.250 0.250 0.750 [4 per cell]
Ge: 0.126 0.126 0.374 [16 per cell]

The following is a PBE calculation of a relaxed TbPm5Ge4 crystal, from the Alexandria database.

- Total magnetization: 0.000 Bohr magnetons per cell
- Density of states at the Fermi level: 11.58 states/eV per cell

Unit cell a=15.696 b=5.081 c=6.994 alpha=90.00 beta=90.57 gamma=90.00
Space group C2/m (No. 12)
Unique sites:
Tb: 0.000 0.000 0.000 [2 per cell]
Pm: 0.000 0.000 0.500 [2 per cell]
Pm: 0.165 0.500 0.007 [4 per cell]
Pm: 0.165 0.500 0.495 [4 per cell]
Ge: 0.009 0.500 0.755 [4 per cell]
Ge: 0.177 0.000 0.249 [4 per cell]

The following is a PBE calculation of a relaxed Tb5Pm2Ge4 crystal, from the Alexandria database.

- Total magnetization: 0.000 Bohr magnetons per cell
- Density of states at the Fermi level: 20.23 states/eV per cell

Unit cell a=25.775 b=3.510 c=6.988 alpha=90.00 beta=92.40 gamma=90.00
Space group C2/m (No. 12)
Unique sites:
Tb: 0.000 0.000 0.000 [2 per cell]
Tb: 0.131 0.500 0.202 [4 per cell]
Tb: 0.237 0.500 0.756 [4 per cell]
Pm: 0.094 0.500 0.703 [4 per cell]
Ge: 0.024 0.500 0.344 [4 per cell]
Ge: 0.175 0.000 0.500 [4 per cell]

The following is a PBE calculation of a relaxed TbPm3Ge2 crystal, from the Alexandria database.

- Total magnetization: 0.001 Bohr magnetons per cell
- Density of states at the Fermi level: 24.80 states/eV per cell

Unit cell a=17.534 b=4.411 c=9.485 alpha=90.00 beta=115.84 gamma=90.00
Space group C2/m (No. 12)
Unique sites:
Tb: 0.114 0.000 0.126 [4 per cell]
Pm: 0.046 0.000 0.696 [4 per cell]
Pm: 0.155 0.500 0.476 [4 per cell]
Pm: 0.190 0.500 0.886 [4 per cell]
Ge: 0.004 0.500 0.865 [4 per cell]
Ge: 0.243 0.000 0.722 [4 per cell]

The following is a PBE calculation of a relaxed Tb2PmGe crystal, from the Alexandria database.

- Total magnetization: 0.000 Bohr magnetons per cell
- Density of states at the Fermi level: 4.58 states/eV per cell
- Offset from the most stable computed form: 133 meV per atom

Unit cell a=3.882 b=3.882 c=7.277 alpha=90.00 beta=90.00 gamma=90.00
Space group P4/mmm (No. 123)
Unique sites:
Tb: 0.000 0.000 0.201 [2 per cell]
Pm: 0.500 0.500 0.500 [1 per cell]
Ge: 0.500 0.500 0.000 [1 per cell]

The following is a PBE calculation of a relaxed TbPm5Ge6 crystal, from the Alexandria database.

- Total magnetization: 0.000 Bohr magnetons per cell
- Density of states at the Fermi level: 22.82 states/eV per cell

Unit cell a=7.390 b=12.683 c=7.344 alpha=90.00 beta=109.22 gamma=90.00
Space group C2/m (No. 12)
Unique sites:
Tb: 0.000 0.000 0.000 [2 per cell]
Pm: 0.000 0.168 0.500 [4 per cell]
Pm: 0.000 0.333 0.000 [4 per cell]
Pm: 0.000 0.500 0.500 [2 per cell]
Ge: 0.247 0.000 0.751 [4 per cell]
Ge: 0.247 0.165 0.247 [8 per cell]

The following is a PBE calculation of a relaxed TbPm12Ge6 crystal, from the Alexandria database.

- Total magnetization: 0.005 Bohr magnetons per cell
- Density of states at the Fermi level: 76.33 states/eV per cell

Unit cell a=13.6547 b=13.6547 c=10.8891 alpha=90.00 beta=90.00 gamma=120.00
Space group R-3m (No. 166, hexagonal axes)
Unique sites:
Tb: 0.0000 0.0000 0.0000 [3 per cell]
Pm: 0.0000 0.3766 0.5000 [18 per cell]
Pm: 0.0880 0.1759 0.3514 [18 per cell]
Ge: 0.0352 0.5176 0.2671 [18 per cell]

The following is a PBE calculation of a relaxed Tb2PmGe crystal, from the Alexandria database.

- Total magnetization: 1.656 Bohr magnetons per cell
- Density of states at the Fermi level: 20.44 states/eV per cell
- Offset from the most stable computed form: 0 meV per atom

Unit cell a=4.151 b=12.100 c=9.236 alpha=90.00 beta=90.00 gamma=90.00
Space group Cmcm (No. 63)
Unique sites:
Tb: 0.000 0.145 0.057 [8 per cell]
Pm: 0.000 0.433 0.250 [4 per cell]
Ge: 0.000 0.251 0.750 [4 per cell]

The following is a PBE calculation of a relaxed TbPm5Ge5 crystal, from the Alexandria database.

- Total magnetization: 0.239 Bohr magnetons per cell
- Density of states at the Fermi level: 17.61 states/eV per cell

Unit cell a=13.545 b=5.974 c=8.301 alpha=90.00 beta=107.87 gamma=90.00
Space group C2/m (No. 12)
Unique sites:
Tb: 0.000 0.000 0.000 [2 per cell]
Pm: 0.000 0.000 0.500 [2 per cell]
Pm: 0.170 0.500 0.839 [4 per cell]
Pm: 0.171 0.500 0.331 [4 per cell]
Ge: 0.000 0.500 0.000 [2 per cell]
Ge: 0.161 0.000 0.829 [4 per cell]
Ge: 0.163 0.000 0.333 [4 per cell]

The following is a PBE calculation of a relaxed TbPmGe crystal, from the Alexandria database.

- Total magnetization: 0.000 Bohr magnetons per cell
- Density of states at the Fermi level: 1.86 states/eV per cell
- Offset from the most stable computed form: 197 meV per atom

Unit cell a=4.7535 b=4.7535 c=4.2567 alpha=90.00 beta=90.00 gamma=120.00
Space group P3m1 (No. 156)
Unique sites:
Tb: 0.0000 0.0000 0.0000 [1 per cell]
Pm: 0.3333 0.6667 0.5298 [1 per cell]
Ge: 0.6667 0.3333 0.1763 [1 per cell]

The following is a PBE calculation of a relaxed Tb2Pm5Ge4 crystal, from the Alexandria database.

- Total magnetization: 0.000 Bohr magnetons per cell
- Density of states at the Fermi level: 23.16 states/eV per cell

Unit cell a=21.317 b=3.830 c=8.283 alpha=90.00 beta=96.01 gamma=90.00
Space group C2/m (No. 12)
Unique sites:
Tb: 0.235 0.000 0.166 [4 per cell]
Pm: 0.000 0.000 0.500 [2 per cell]
Pm: 0.100 0.500 0.932 [4 per cell]
Pm: 0.162 0.500 0.472 [4 per cell]
Ge: 0.028 0.500 0.235 [4 per cell]
Ge: 0.104 0.000 0.217 [4 per cell]

The following is a PBE calculation of a relaxed Tb2PmGe crystal, from the Alexandria database.

- Total magnetization: 0.000 Bohr magnetons per cell
- Density of states at the Fermi level: 15.45 states/eV per cell
- Offset from the most stable computed form: 205 meV per atom

Unit cell a=3.7370 b=3.7370 c=29.8338 alpha=90.00 beta=90.00 gamma=120.00
Space group R-3m (No. 166, hexagonal axes)
Unique sites:
Tb: 0.0000 0.0000 0.2319 [6 per cell]
Pm: 0.0000 0.0000 0.0000 [3 per cell]
Ge: 0.0000 0.0000 0.5000 [3 per cell]

Calculated formation enthalpy at 0 K, -5.23 -1.33 -6.33 -5.33 -3.39 -7.61 -6.36 -6.25 -2.06 -6.29 -3.86 -3.42 -1.24 -7.96 -7.64 -1.78 -6.94 -1.20 -3.14 -0.96 eV per formula unit (same order as the records).
Calculated total energy, -5.22 -4.99 -5.35 -5.27 -5.33 -5.51 -5.37 -5.26 -4.98 -5.31 -5.00 -5.26 -4.97 -5.34 -5.10 -5.10 -5.31 -5.06 -4.97 -4.90 eV/atom (same order as the records).